[1]
Computed, not measured: an optimized crystal structure of DyNbOs at the PBE level of DFT.

Unit cell a=4.5016 b=4.5016 c=4.5016 alpha=60.00 beta=60.00 gamma=60.00
Last column: nearest neighbours and their distance in Å.
Element x y z (fractional)
1 Dy 0.2500 0.2500 0.2500  4 Nb 2.76
2 Nb 0.0000 0.0000 0.0000  4 Dy 2.76, 4 Os 2.76
3 Os 0.7500 0.7500 0.7500  4 Nb 2.76

- Density: 11.47 g cm⁻³
- Formation energy from the elements: 0.522 eV/atom
- Total moment: 0.0 μB/cell
- Energy: -8.12 eV/atom


[2]
Computed, not measured: an optimized crystal structure of DyNbOs at the PBE level of DFT.

Unit cell a=4.5179 b=4.5179 c=4.5179 alpha=60.00 beta=60.00 gamma=60.00
Last column: nearest neighbours and their distance in Å.
Element x y z (fractional)
1 Dy 0.0000 0.0000 0.0000  4 Nb 2.77, 4 Os 2.77
2 Nb 0.2500 0.2500 0.2500  4 Dy 2.77
3 Os 0.7500 0.7500 0.7500  4 Dy 2.77

- Density: 11.35 g cm⁻³
- Formation energy from the elements: 1.354 eV/atom
- Total moment: 0.0 μB/cell
- Energy: -7.29 eV/atom


[3]
Computed, not measured: an optimized crystal structure of Dy2NbP3 at the PBE level of DFT.

Unit cell a=3.8392 b=3.8392 c=9.4244 alpha=90.00 beta=90.00 gamma=120.00
Last column: nearest neighbours and their distance in Å.
Element x y z (fractional)
1 Dy 0.6667 0.3333 0.1788  6 P 2.77-2.78
2 Dy 0.3333 0.6667 0.8212  6 P 2.77-2.78
3 Nb 0.0000 0.0000 0.5000  6 P 2.60
4 P 0.0000 0.0000 0.0000  6 Dy 2.78
5 P 0.3333 0.6667 0.3552  3 Nb 2.60, 3 Dy 2.77
6 P 0.6667 0.3333 0.6448  3 Nb 2.60, 3 Dy 2.77

- Density: 7.05 g cm⁻³
- Total moment: 0.0 μB/cell
- Energy: -7.20 eV/atom


[4]
Computed, not measured: an optimized crystal structure of DyNb2P3 at the PBE level of DFT.

Unit cell a=3.7403 b=3.7403 c=8.9707 alpha=90.00 beta=90.00 gamma=120.00
Last column: nearest neighbours and their distance in Å.
Element x y z (fractional)
1 Dy 0.0000 0.0000 0.5000  6 P 2.76
2 Nb 0.6667 0.3333 0.1464  6 P 2.53-2.61
3 Nb 0.3333 0.6667 0.8536  6 P 2.53-2.61
4 P 0.0000 0.0000 0.0000  6 Nb 2.53
5 P 0.3333 0.6667 0.3090  3 Nb 2.61, 3 Dy 2.76
6 P 0.6667 0.3333 0.6910  3 Nb 2.61, 3 Dy 2.76

- Density: 6.74 g cm⁻³
- Total moment: 0.0 μB/cell
- Energy: -7.76 eV/atom


[5]
Computed, not measured: an optimized crystal structure of DyNb2Si2P at the PBE level of DFT.

Unit cell a=3.9098 b=3.9098 c=7.8528 alpha=90.00 beta=90.00 gamma=90.00
Last column: nearest neighbours and their distance in Å.
Element x y z (fractional)
1 Dy 0.0000 0.0000 0.3462  5 Si 2.93-2.99
2 Nb 0.5000 0.0000 0.9841  4 Si 2.71-2.81, 4 Nb 2.76, 2 P 2.77
3 Nb 0.0000 0.5000 0.9841  4 Si 2.71-2.81, 4 Nb 2.76, 2 P 2.77
4 P 0.5000 0.5000 0.7346  4 Si 2.77, 4 Nb 2.77
5 Si 0.5000 0.5000 0.2236  4 Nb 2.71, 4 Dy 2.93
6 Si 0.0000 0.0000 0.7275  4 P 2.77, 4 Nb 2.81, 1 Dy 2.99

- Density: 6.02 g cm⁻³
- Total moment: 0.0 μB/cell
- Energy: -7.16 eV/atom


[6]
Computed, not measured: an optimized crystal structure of DyNbPd at the PBE level of DFT.

Unit cell a=4.6246 b=4.6246 c=4.6246 alpha=60.00 beta=60.00 gamma=60.00
Last column: nearest neighbours and their distance in Å.
Element x y z (fractional)
1 Dy 0.0000 0.0000 0.0000  4 Pd 2.83
2 Nb 0.5000 0.5000 0.5000  4 Pd 2.83
3 Pd 0.7500 0.7500 0.7500  4 Nb 2.83, 4 Dy 2.83

- Density: 8.59 g cm⁻³
- Formation energy from the elements: 0.174 eV/atom
- Total moment: 0.9 μB/cell
- Energy: -6.45 eV/atom


[7]
Computed, not measured: an optimized crystal structure of DyNbPt at the PBE level of DFT.

Unit cell a=4.6243 b=4.6243 c=4.6243 alpha=60.00 beta=60.00 gamma=60.00
Last column: nearest neighbours and their distance in Å.
Element x y z (fractional)
1 Dy 0.2500 0.2500 0.2500  4 Pt 2.83
2 Nb 0.7500 0.7500 0.7500  4 Pt 2.83
3 Pt 0.0000 0.0000 0.0000  4 Dy 2.83, 4 Nb 2.83

- Density: 10.70 g cm⁻³
- Formation energy from the elements: -0.205 eV/atom
- Total moment: 0.0 μB/cell
- Energy: -7.12 eV/atom


[8]
Computed, not measured: an optimized crystal structure of DyPuNb at the PBE level of DFT.

Unit cell a=4.7252 b=4.7252 c=4.7252 alpha=60.00 beta=60.00 gamma=60.00
Last column: nearest neighbours and their distance in Å.
Element x y z (fractional)
1 Dy 0.0000 0.0000 0.0000  4 Nb 2.89
2 Nb 0.2500 0.2500 0.2500  4 Pu 2.89, 4 Dy 2.89
3 Pu 0.5000 0.5000 0.5000  4 Nb 2.89

- Density: 11.12 g cm⁻³
- Formation energy from the elements: 0.797 eV/atom
- Total moment: 4.1 μB/cell
- Energy: -8.81 eV/atom


[9]
Computed, not measured: an optimized crystal structure of RbDyNb at the PBE level of DFT.

Unit cell a=5.5645 b=5.5645 c=5.5645 alpha=60.00 beta=60.00 gamma=60.00
Last column: nearest neighbours and their distance in Å.
Element x y z (fractional)
1 Dy 0.5000 0.5000 0.5000  4 Nb 3.41
2 Nb 0.2500 0.2500 0.2500  4 Dy 3.41, 4 Rb 3.41
3 Rb 0.0000 0.0000 0.0000  4 Nb 3.41

- Density: 4.65 g cm⁻³
- Total moment: 4.9 μB/cell
- Energy: -3.54 eV/atom


[10]
Computed, not measured: an optimized crystal structure of DyNbRe at the PBE level of DFT.

Unit cell a=4.5452 b=4.5452 c=4.5452 alpha=60.00 beta=60.00 gamma=60.00
Last column: nearest neighbours and their distance in Å.
Element x y z (fractional)
1 Dy 0.0000 0.0000 0.0000  4 Re 2.78, 4 Nb 2.78
2 Nb 0.2500 0.2500 0.2500  4 Dy 2.78
3 Re 0.7500 0.7500 0.7500  4 Dy 2.78

- Density: 11.04 g cm⁻³
- Formation energy from the elements: 1.612 eV/atom
- Total moment: 0.0 μB/cell
- Energy: -7.43 eV/atom


[11]
Computed, not measured: an optimized crystal structure of DyNbRe at the PBE level of DFT.

Unit cell a=4.5395 b=4.5395 c=4.5395 alpha=60.00 beta=60.00 gamma=60.00
Last column: nearest neighbours and their distance in Å.
Element x y z (fractional)
1 Dy 0.2500 0.2500 0.2500  4 Nb 2.78
2 Nb 0.0000 0.0000 0.0000  4 Dy 2.78, 4 Re 2.78
3 Re 0.7500 0.7500 0.7500  4 Nb 2.78

- Density: 11.09 g cm⁻³
- Formation energy from the elements: 0.728 eV/atom
- Total moment: 0.0 μB/cell
- Energy: -8.31 eV/atom


[12]
Computed, not measured: an optimized crystal structure of Dy2NbSb3 at the PBE level of DFT.

Unit cell a=4.2312 b=4.2312 c=10.4010 alpha=90.00 beta=90.00 gamma=120.00
Last column: nearest neighbours and their distance in Å.
Element x y z (fractional)
1 Dy 0.3333 0.6667 0.1786  6 Sb 3.05-3.07
2 Dy 0.6667 0.3333 0.8214  6 Sb 3.05-3.07
3 Nb 0.0000 0.0000 0.5000  6 Sb 2.87
4 Sb 0.0000 0.0000 0.0000  6 Dy 3.07
5 Sb 0.6667 0.3333 0.3548  3 Nb 2.87, 3 Dy 3.05
6 Sb 0.3333 0.6667 0.6452  3 Nb 2.87, 3 Dy 3.05

- Density: 8.06 g cm⁻³
- Total moment: 0.0 μB/cell
- Energy: -5.94 eV/atom


[13]
Computed, not measured: an optimized crystal structure of DyNbSb2 at the PBE level of DFT.

Unit cell a=4.1864 b=4.1864 c=5.8784 alpha=90.00 beta=90.00 gamma=90.00
Last column: nearest neighbours and their distance in Å.
Element x y z (fractional)
1 Dy 0.0000 0.0000 0.5000  6 Sb 2.94-2.96
2 Nb 0.5000 0.5000 0.0000  6 Sb 2.94-2.96
3 Sb 0.0000 0.0000 0.0000  2 Dy 2.94, 4 Nb 2.96
4 Sb 0.5000 0.5000 0.5000  2 Nb 2.94, 4 Dy 2.96

- Density: 8.04 g cm⁻³
- Total moment: 0.0 μB/cell
- Energy: -6.04 eV/atom


[14]
Computed, not measured: an optimized crystal structure of DyScNb at the PBE level of DFT.

Unit cell a=4.8921 b=4.8921 c=4.8921 alpha=60.00 beta=60.00 gamma=60.00
Last column: nearest neighbours and their distance in Å.
Element x y z (fractional)
1 Dy 0.2500 0.2500 0.2500  4 Nb 3.00
2 Nb 0.0000 0.0000 0.0000  4 Dy 3.00, 4 Sc 3.00
3 Sc 0.7500 0.7500 0.7500  4 Nb 3.00

- Density: 6.02 g cm⁻³
- Formation energy from the elements: 0.830 eV/atom
- Total moment: 1.8 μB/cell
- Energy: -6.18 eV/atom


[15]
Computed, not measured: an optimized crystal structure of DyScNb at the PBE level of DFT.

Unit cell a=4.8602 b=4.8602 c=4.8602 alpha=60.00 beta=60.00 gamma=60.00
Last column: nearest neighbours and their distance in Å.
Element x y z (fractional)
1 Dy 0.0000 0.0000 0.0000  4 Sc 2.98, 4 Nb 2.98
2 Nb 0.2500 0.2500 0.2500  4 Dy 2.98
3 Sc 0.7500 0.7500 0.7500  4 Dy 2.98

- Density: 6.14 g cm⁻³
- Formation energy from the elements: 1.219 eV/atom
- Total moment: 1.3 μB/cell
- Energy: -5.79 eV/atom